Computed, not measured: an optimized crystal structure of LaFeAsRh2 at the PBE level of DFT.

**Space-group type**: No. 123
**DFT formation energy**: 0.67 eV per atom
**Total energy**: -0.4318 Ry/atom

a = 4.519 Å, b = 5.600 Å, c = 4.519 Å
α = 90.00°, β = 90.00°, γ = 90.00°
Element x y z (fractional)
Rh 0.500 0.000 0.000
Rh 0.000 0.000 0.500
Fe 0.500 0.500 0.500
La 0.000 0.500 0.000
As 0.000 0.000 0.000